AcCd4Hg6, optimized geometry, DFT GGA-PBE; energy relative to the elements = -0.11 eV/atom; Fermi-level density of states = 3.67 states/eV/cell; spin magnetization = 0.00 μB per atom; energy relative to the lowest polymorph listed for this composition = 0.00 kcal/mol of atoms; VASP energy = -0.983 eV/atom
1.0
8.2214 0.0000 0.0000
-4.1107 7.1199 0.0000
0.0000 0.0000 4.8191
Ac Cd Hg
1 4 6
direct
0.0000 0.0000 0.0000
0.1622 0.7416 0.5000
0.2584 0.4206 0.5000
0.5794 0.8378 0.5000
0.6667 0.3333 0.0000
0.0781 0.4727 0.0000
0.3883 0.1642 0.5000
0.3946 0.9219 0.0000
0.5273 0.6054 0.0000
0.7760 0.6117 0.5000
0.8358 0.2240 0.5000



Hf4AsO, optimized geometry, DFT GGA-PBE; Fermi-level density of states = 7.47 states/eV/cell; spin magnetization = 0.00 μB per atom; VASP energy = -9.131 eV/atom
1.0
-4.0154 4.0154 3.5901
4.0154 -4.0154 3.5901
4.0154 4.0154 -3.5901
Hf As O
8 2 2
direct
0.1913 0.0000 0.1913
0.1924 0.4717 0.2793
0.1924 0.9131 0.7207
0.2217 0.4424 0.7793
0.6631 0.4424 0.2207
0.7500 0.0587 0.3087
0.7500 0.4413 0.6913
0.8087 0.0000 0.8087
0.4521 0.9521 0.5000
0.7021 0.7021 0.0000
0.2367 0.2367 0.0000
0.9867 0.4867 0.5000



Er5Tl4Pt, optimized geometry, DFT GGA-PBE; energy relative to the elements = -0.53 eV/atom; Fermi-level density of states = 5.63 states/eV/cell; spin magnetization = 0.03 μB per atom; energy relative to the lowest polymorph listed for this composition = 0.00 kcal/mol of atoms; VASP energy = -4.357 eV/atom
1.0
3.5481 0.0000 0.0000
0.0000 3.5481 0.0000
0.0000 0.0000 20.2974
Er Tl Pt
5 4 1
direct
0.0000 0.0000 0.0000
0.0000 0.0000 0.2087
0.0000 0.0000 0.4183
0.0000 0.0000 0.5817
0.0000 0.0000 0.7913
0.5000 0.5000 0.1041
0.5000 0.5000 0.3112
0.5000 0.5000 0.6888
0.5000 0.5000 0.8959
0.5000 0.5000 0.5000



Sm2Tm5Sc, optimized geometry, DFT GGA-PBE; energy relative to the elements = 0.04 eV/atom; Fermi-level density of states = 11.55 states/eV/cell; spin magnetization = 0.00 μB per atom; VASP energy = -4.730 eV/atom
1.0
5.5140 -2.4781 0.0000
5.5140 2.4781 0.0000
-4.4477 0.0000 8.8435
Sm Tm Sc
2 5 1
direct
0.0008 0.0008 0.2473
0.9992 0.9992 0.7527
0.2498 0.2498 0.1227
0.2511 0.2511 0.6280
0.5000 0.5000 0.5000
0.7489 0.7489 0.3720
0.7502 0.7502 0.8773
0.5000 0.5000 0.0000



Cs2H5Au, optimized geometry, DFT GGA-PBE; Fermi-level density of states = 0.00 states/eV/cell; spin magnetization = 0.00 μB per atom; VASP energy = -2.884 eV/atom
1.0
-3.1135 3.1135 4.6911
3.1135 -3.1135 4.6911
3.1135 3.1135 -4.6911
Cs H Au
2 5 1
direct
0.0000 0.5000 0.5000
0.5000 0.0000 0.5000
0.0307 0.0307 0.0000
0.0677 0.0677 0.6253
0.0677 0.4423 0.0000
0.4423 0.0677 0.0000
0.4423 0.4423 0.3747
0.2387 0.2387 0.0000



CaCdC, optimized geometry, DFT GGA-PBE; energy relative to the elements = 0.01 eV/atom; Fermi-level density of states = 1.91 states/eV/cell; spin magnetization = 0.00 μB per atom; VASP energy = -4.036 eV/atom
1.0
3.4498 0.0000 0.0000
0.0000 5.1140 0.0000
0.0000 0.0000 7.1664
Ca Cd C
2 2 2
direct
0.0000 0.0000 0.0000
0.0000 0.5000 0.3491
0.5000 0.0000 0.5343
0.5000 0.5000 0.7296
0.5000 0.3736 0.0695
0.5000 0.6264 0.0695



Tb12Ho7Sc, optimized geometry, DFT GGA-PBE; energy relative to the elements = 0.24 eV/atom; Fermi-level density of states = 27.51 states/eV/cell; spin magnetization = 0.00 μB per atom; energy relative to the lowest polymorph listed for this composition = 2.91 kcal/mol of atoms; VASP energy = -4.458 eV/atom
1.0
9.6488 5.5708 2.0233
-9.6488 5.5708 2.0233
0.0000 -11.1415 2.0233
Tb Ho Sc
12 7 1
direct
0.0003 0.4143 0.5855
0.9997 0.5857 0.4145
0.0805 0.0811 0.4339
0.0811 0.4339 0.0805
0.4143 0.5855 0.0003
0.4145 0.9997 0.5857
0.4339 0.0805 0.0811
0.5661 0.9195 0.9189
0.5855 0.0003 0.4143
0.5857 0.4145 0.9997
0.9189 0.5661 0.9195
0.9195 0.9189 0.5661
0.0000 0.0000 0.0000
0.1397 0.3819 0.3813
0.3813 0.1397 0.3819
0.3819 0.3813 0.1397
0.6181 0.6187 0.8603
0.6187 0.8603 0.6181
0.8603 0.6181 0.6187
0.5000 0.5000 0.5000



Zn2SO, optimized geometry, DFT GGA-PBE; Fermi-level density of states = 0.32 states/eV/cell; spin magnetization = 0.00 μB per atom; energy relative to the lowest polymorph listed for this composition = 1.75 kcal/mol of atoms; VASP energy = -3.895 eV/atom
1.0
1.7846 1.0303 5.8490
-1.7846 1.0303 5.8490
0.0000 -2.0607 5.8490
Zn S O
2 1 1
direct
0.0000 0.0000 0.0000
0.4781 0.4781 0.4781
0.8668 0.8668 0.8668
0.3647 0.3647 0.3647



SmDyHo2Tm2, optimized geometry, DFT GGA-PBE; energy relative to the elements = 0.28 eV/atom; Fermi-level density of states = 18.68 states/eV/cell; spin magnetization = 0.00 μB per atom; VASP energy = -4.286 eV/atom
1.0
6.4962 0.0000 0.0000
0.0000 17.6177 0.0000
0.0000 0.0000 3.3753
Sm Dy Ho Tm
2 2 4 4
direct
0.0000 0.0000 0.0000
0.5000 0.5000 0.5000
0.0000 0.5000 0.0000
0.5000 0.0000 0.5000
0.2265 0.1854 0.0000
0.2735 0.6854 0.5000
0.7265 0.3146 0.5000
0.7735 0.8146 0.0000
0.2244 0.3517 0.5000
0.2756 0.8517 0.0000
0.7244 0.1483 0.0000
0.7756 0.6483 0.5000



Th3GeH3, optimized geometry, DFT GGA-PBE; Fermi-level density of states = 7.02 states/eV/cell; spin magnetization = 0.00 μB per atom; VASP energy = -5.732 eV/atom
1.0
3.4621 1.9988 6.6853
-3.4621 1.9988 6.6853
0.0000 -3.9977 6.6853
Th Ge H
6 2 6
direct
0.0882 0.4126 0.7635
0.2365 0.9118 0.5874
0.4126 0.7635 0.0882
0.5874 0.2365 0.9118
0.7635 0.0882 0.4126
0.9118 0.5874 0.2365
0.3336 0.3336 0.3336
0.6664 0.6664 0.6664
0.1275 0.7822 0.4701
0.2178 0.5299 0.8725
0.4701 0.1275 0.7822
0.5299 0.8725 0.2178
0.7822 0.4701 0.1275
0.8725 0.2178 0.5299



RbYCdSe2, optimized geometry, DFT GGA-PBE; Fermi-level density of states = 2.19 states/eV/cell; spin magnetization = 0.00 μB per atom; VASP energy = -3.931 eV/atom
1.0
5.5530 0.0000 0.0000
0.0000 5.5530 0.0000
0.0000 0.0000 6.0009
Rb Y Cd Se
1 1 1 2
direct
0.0000 0.0000 0.0000
0.5000 0.5000 0.5000
0.5000 0.5000 0.0000
0.0000 0.5000 0.5000
0.5000 0.0000 0.5000



Nd4Tm3Sc, optimized geometry, DFT GGA-PBE; energy relative to the elements = 0.13 eV/atom; Fermi-level density of states = 12.67 states/eV/cell; spin magnetization = 0.00 μB per atom; energy relative to the lowest polymorph listed for this composition = 2.09 kcal/mol of atoms; VASP energy = -4.721 eV/atom
1.0
-1.7375 5.7327 6.4521
1.7375 -5.7327 6.4521
1.7375 5.7327 -6.4521
Nd Tm Sc
4 3 1
direct
0.1132 0.8681 0.2451
0.3769 0.1319 0.2451
0.6231 0.8681 0.7549
0.8868 0.1319 0.7549
0.2364 0.7364 0.5000
0.5000 0.5000 0.0000
0.7636 0.2636 0.5000
0.0000 0.0000 0.0000



TbBH, optimized geometry, DFT GGA-PBE; Fermi-level density of states = 2.65 states/eV/cell; spin magnetization = 0.00 μB per atom; energy relative to the lowest polymorph listed for this composition = 0.00 kcal/mol of atoms; VASP energy = -5.451 eV/atom
1.0
1.8381 -6.2132 0.0000
1.8381 6.2132 0.0000
0.0000 0.0000 3.2643
Tb B H
2 2 2
direct
0.1345 0.8655 0.7500
0.8655 0.1345 0.2500
0.4790 0.5210 0.7500
0.5210 0.4790 0.2500
0.2553 0.7447 0.2500
0.7447 0.2553 0.7500



NaIrSe2O8, optimized geometry, DFT GGA-PBE; spin magnetization = 0.00 μB per atom; VASP energy = -5.367 eV/atom
1.0
5.4722 0.0000 0.0000
-2.7361 4.7390 0.0000
0.0000 0.0000 6.9950
Na Ir Se O
1 1 2 8
direct
0.0000 0.0000 0.0000
0.0000 0.0000 0.5000
0.3333 0.6667 0.2434
0.6667 0.3333 0.7566
0.1567 0.3134 0.2999
0.1567 0.8433 0.2999
0.3134 0.1567 0.7001
0.3333 0.6667 0.0104
0.6667 0.3333 0.9896
0.6866 0.8433 0.2999
0.8433 0.1567 0.7001
0.8433 0.6866 0.7001



Ba2TlBr, optimized geometry, DFT GGA-PBE; Fermi-level density of states = 3.91 states/eV/cell; spin magnetization = 0.00 μB per atom; energy relative to the lowest polymorph listed for this composition = 0.74 kcal/mol of atoms; VASP energy = -2.929 eV/atom
1.0
4.9382 0.0000 0.0000
0.0000 4.9382 0.0000
0.0000 0.0000 7.0832
Ba Tl Br
2 1 1
direct
0.0000 0.0000 0.0000
0.5000 0.5000 0.5000
0.0000 0.0000 0.5000
0.5000 0.5000 0.0000



CePm2HfP4, optimized geometry, DFT GGA-PBE; energy relative to the elements = -1.46 eV/atom; Fermi-level density of states = 5.58 states/eV/cell; spin magnetization = 0.02 μB per atom; VASP energy = -7.341 eV/atom
1.0
6.9172 0.0000 0.0000
0.0000 3.9935 0.0000
-2.2845 0.0000 6.5538
Ce Pm Hf P
1 2 1 4
direct
0.0000 0.0000 0.0000
0.0000 0.5000 0.5000
0.5000 0.0000 0.5000
0.5000 0.5000 0.0000
0.2576 0.5000 0.2356
0.2679 0.0000 0.7716
0.7321 0.0000 0.2284
0.7424 0.5000 0.7644



Dy6Sn2Te, optimized geometry, DFT GGA-PBE; Fermi-level density of states = 12.23 states/eV/cell; spin magnetization = 0.00 μB per atom; VASP energy = -4.951 eV/atom
1.0
8.3680 0.0000 0.0000
-4.1840 7.2469 0.0000
0.0000 0.0000 4.2269
Dy Sn Te
6 2 1
direct
0.0000 0.4001 0.0000
0.0000 0.7304 0.5000
0.2696 0.2696 0.5000
0.4001 0.0000 0.0000
0.5999 0.5999 0.0000
0.7304 0.0000 0.5000
0.3333 0.6667 0.5000
0.6667 0.3333 0.5000
0.0000 0.0000 0.0000



BC2, optimized geometry, DFT GGA-PBE; energy relative to the elements = 0.34 eV/atom; Fermi-level density of states = 2.39 states/eV/cell; spin magnetization = 0.00 μB per atom; energy relative to the lowest polymorph listed for this composition = 2.25 kcal/mol of atoms; VASP energy = -8.038 eV/atom
1.0
2.6050 0.0000 0.0000
-1.3025 2.2560 0.0000
0.0000 0.0000 14.5479
B C
4 8
direct
0.0000 0.0000 0.0000
0.0000 0.0000 0.2460
0.0000 0.0000 0.6597
0.3333 0.6667 0.7277
0.0000 0.0000 0.5506
0.3333 0.6667 0.2603
0.3333 0.6667 0.3736
0.3333 0.6667 0.8369
0.6667 0.3333 0.4083
0.6667 0.3333 0.5151
0.6667 0.3333 0.8717
0.6667 0.3333 0.9858



LaHgP, optimized geometry, DFT GGA-PBE; energy relative to the elements = -0.77 eV/atom; spin magnetization = 0.00 μB per atom; energy relative to the lowest polymorph listed for this composition = 0.58 kcal/mol of atoms; VASP energy = -4.316 eV/atom
1.0
4.3480 0.0000 0.0000
-2.1740 3.7655 0.0000
0.0000 0.0000 4.9651
La Hg P
1 1 1
direct
0.0000 0.0000 0.0000
0.3333 0.6667 0.5744
0.6667 0.3333 0.2960



LiTe4AsPb2, optimized geometry, DFT GGA-PBE; Fermi-level density of states = 3.03 states/eV/cell; spin magnetization = 0.00 μB per atom; VASP energy = -3.652 eV/atom
1.0
-4.3673 4.4410 6.1835
4.3673 -4.4410 6.1835
4.3673 4.4410 -6.1835
Li Te As Pb
2 8 2 4
direct
0.0000 0.0000 0.0000
0.5000 0.0000 0.5000
0.2614 0.2426 0.4812
0.2614 0.7802 0.0188
0.2625 0.2385 0.0241
0.2856 0.7615 0.5241
0.7144 0.2385 0.4759
0.7375 0.7615 0.9759
0.7386 0.2198 0.9812
0.7386 0.7574 0.5188
0.5000 0.0000 0.0000
0.5000 0.5000 0.5000
0.0000 0.0000 0.5000
0.0000 0.5000 0.0000
0.0000 0.5000 0.5000
0.5000 0.5000 0.0000



LiPuInO4, optimized geometry, DFT GGA-PBE; Fermi-level density of states = 9.85 states/eV/cell; spin magnetization = 0.57 μB per atom; VASP energy = -7.726 eV/atom
1.0
-3.2072 3.4531 4.6323
3.2072 -3.4531 4.6323
3.2072 3.4531 -4.6323
Li Pu In O
2 2 2 8
direct
0.3705 0.1205 0.2500
0.6295 0.8795 0.7500
0.0000 0.5000 0.5000
0.5000 0.5000 0.0000
0.0000 0.0000 0.5000
0.0000 0.5000 0.0000
0.2093 0.7408 0.4685
0.2277 0.2592 0.9685
0.2465 0.2721 0.5257
0.2465 0.7208 0.9743
0.7535 0.2792 0.0257
0.7535 0.7279 0.4743
0.7723 0.7408 0.0315
0.7907 0.2592 0.5315



CaTeAuSeS, optimized geometry, DFT GGA-PBE; Fermi-level density of states = 1.49 states/eV/cell; spin magnetization = 0.00 μB per atom; energy relative to the lowest polymorph listed for this composition = 0.00 kcal/mol of atoms; VASP energy = -3.964 eV/atom
1.0
4.1491 0.0000 0.0000
2.0736 4.0441 0.0000
0.0075 1.0443 8.2421
Ca Te Au Se S
1 1 1 1 1
direct
0.0000 0.0000 0.0000
0.4228 0.1564 0.4479
0.0974 0.8071 0.6063
0.6657 0.6700 0.7990
0.3380 0.3234 0.1461